## P
{"formula": "K3MnF8", "functional": "GGA+U", "state": "relaxed", "crystal_system": "orthorhombic", "density_g_cm3": 2.0, "cell": [[2.907, -5.877, 0.000], [2.907, 5.877, 0.000], [0.000, 0.000, 7.790]], "species": ["K", "K", "K", "Mn", "F", "F", "F", "F", "F", "F", "F", "F"], "frac_coords": [[0.000, 0.000, 0.000], [0.000, 0.500, 0.726], [0.500, 0.000, 0.274], [0.000, 0.000, 0.500], [0.157, 0.843, 0.500], [0.214, 0.223, 0.674], [0.223, 0.214, 0.326], [0.229, 0.771, 0.000], [0.771, 0.229, 0.000], [0.777, 0.786, 0.326], [0.786, 0.777, 0.674], [0.843, 0.157, 0.500]]}

## Q
{"formula": "K3MnF8", "functional": "GGA+U", "state": "relaxed", "crystal_system": "tetragonal", "density_g_cm3": 2.8, "cell": [[-2.927, 2.927, 5.640], [2.927, -2.927, 5.640], [2.927, 2.927, -5.640]], "species": ["K", "K", "K", "Mn", "F", "F", "F", "F", "F", "F", "F", "F"], "frac_coords": [[0.000, 0.000, 0.000], [0.250, 0.750, 0.500], [0.750, 0.250, 0.500], [0.500, 0.500, 0.000], [0.198, 0.198, 0.602], [0.198, 0.596, 0.000], [0.404, 0.404, 0.602], [0.404, 0.802, 0.000], [0.596, 0.198, 0.000], [0.596, 0.596, 0.398], [0.802, 0.404, 0.000], [0.802, 0.802, 0.398]]}

P is favored, and the nearest alternative lies 0.190 eV/atom above it.

## P
{"formula": "KMnF2", "functional": "GGA+U", "state": "relaxed", "crystal_system": "tetragonal", "density_g_cm3": 2.6, "cell": [[6.227, 0.000, 0.000], [0.000, 6.227, 0.000], [0.000, 0.000, 8.649]], "species": ["K", "K", "K", "K", "Mn", "Mn", "Mn", "Mn", "F", "F", "F", "F", "F", "F", "F", "F"], "frac_coords": [[0.000, 0.000, 0.000], [0.000, 0.500, 0.250], [0.500, 0.000, 0.750], [0.500, 0.500, 0.500], [0.000, 0.000, 0.500], [0.000, 0.500, 0.750], [0.500, 0.000, 0.250], [0.500, 0.500, 0.000], [0.178, 0.750, 0.625], [0.250, 0.178, 0.375], [0.250, 0.322, 0.875], [0.322, 0.750, 0.125], [0.678, 0.250, 0.125], [0.750, 0.678, 0.875], [0.750, 0.822, 0.375], [0.822, 0.250, 0.625]]}

## Q
{"formula": "KMnF2", "functional": "GGA+U", "state": "relaxed", "crystal_system": "trigonal", "density_g_cm3": 2.5, "cell": [[3.778, 0.000, 0.000], [-1.889, 3.272, 0.000], [0.000, 0.000, 21.008]], "species": ["K", "K", "K", "Mn", "Mn", "Mn", "F", "F", "F", "F", "F", "F"], "frac_coords": [[0.000, 0.000, 0.000], [0.333, 0.667, 0.667], [0.667, 0.333, 0.333], [0.000, 0.000, 0.500], [0.333, 0.667, 0.167], [0.667, 0.333, 0.833], [0.000, 0.000, 0.405], [0.000, 0.000, 0.595], [0.333, 0.667, 0.071], [0.333, 0.667, 0.262], [0.667, 0.333, 0.738], [0.667, 0.333, 0.929]]}

Q is favored, and the nearest alternative lies 0.108 eV/atom above it.

## P
{"formula": "KMn2F", "functional": "GGA+U", "state": "relaxed", "crystal_system": "cubic", "density_g_cm3": 2.4, "cell": [[7.697, 0.000, 0.000], [0.000, 7.697, 0.000], [0.000, 0.000, 7.697]], "species": ["K", "K", "K", "K", "Mn", "Mn", "Mn", "Mn", "Mn", "Mn", "Mn", "Mn", "F", "F", "F", "F"], "frac_coords": [[0.000, 0.000, 0.000], [0.000, 0.500, 0.500], [0.500, 0.000, 0.500], [0.500, 0.500, 0.000], [0.250, 0.250, 0.250], [0.250, 0.250, 0.750], [0.250, 0.750, 0.250], [0.250, 0.750, 0.750], [0.750, 0.250, 0.250], [0.750, 0.250, 0.750], [0.750, 0.750, 0.250], [0.750, 0.750, 0.750], [0.000, 0.000, 0.500], [0.000, 0.500, 0.000], [0.500, 0.000, 0.000], [0.500, 0.500, 0.500]]}

## Q
{"formula": "KMn2F", "functional": "GGA+U", "state": "relaxed", "crystal_system": "tetragonal", "density_g_cm3": 2.1, "cell": [[7.037, 0.000, 0.000], [0.000, 7.037, 0.000], [0.000, 0.000, 10.506]], "species": ["K", "K", "K", "K", "Mn", "Mn", "Mn", "Mn", "Mn", "Mn", "Mn", "Mn", "F", "F", "F", "F"], "frac_coords": [[0.000, 0.250, 0.375], [0.000, 0.750, 0.625], [0.500, 0.250, 0.125], [0.500, 0.750, 0.875], [0.000, 0.000, 0.000], [0.000, 0.500, 0.000], [0.250, 0.250, 0.750], [0.250, 0.750, 0.250], [0.500, 0.000, 0.500], [0.500, 0.500, 0.500], [0.750, 0.250, 0.750], [0.750, 0.750, 0.250], [0.000, 0.250, 0.875], [0.000, 0.750, 0.125], [0.500, 0.250, 0.625], [0.500, 0.750, 0.375]]}

Q is favored, and the nearest alternative lies 0.461 eV/atom above it.

## P
{"formula": "KMnN2F", "functional": "GGA+U", "state": "relaxed", "crystal_system": "tetragonal", "density_g_cm3": 3.2, "cell": [[3.817, 0.000, 0.000], [0.000, 3.817, 0.000], [0.000, 0.000, 4.973]], "species": ["K", "Mn", "N", "N", "F"], "frac_coords": [[0.000, 0.000, 0.000], [0.500, 0.500, 0.500], [0.000, 0.500, 0.500], [0.500, 0.000, 0.500], [0.500, 0.500, 0.000]]}

## Q
{"formula": "KMnN2F", "functional": "GGA+U", "state": "relaxed", "crystal_system": "tetragonal", "density_g_cm3": 2.1, "cell": [[4.907, 0.000, 0.000], [0.000, 4.907, 0.000], [0.000, 0.000, 4.551]], "species": ["K", "Mn", "N", "N", "F"], "frac_coords": [[0.000, 0.000, 0.000], [0.500, 0.500, 0.500], [0.000, 0.500, 0.000], [0.500, 0.000, 0.000], [0.000, 0.000, 0.500]]}

P is favored, and the nearest alternative lies 1.655 eV/atom above it.

## P
{"formula": "KRbMnF6", "functional": "GGA+U", "state": "relaxed", "crystal_system": "cubic", "density_g_cm3": 3.1, "cell": [[0.000, 4.268, 4.268], [4.268, 0.000, 4.268], [4.268, 4.268, 0.000]], "species": ["K", "Rb", "Mn", "F", "F", "F", "F", "F", "F"], "frac_coords": [[0.000, 0.000, 0.000], [0.500, 0.500, 0.500], [0.750, 0.750, 0.750], [0.533, 0.533, 0.967], [0.533, 0.967, 0.533], [0.533, 0.967, 0.967], [0.967, 0.533, 0.533], [0.967, 0.533, 0.967], [0.967, 0.967, 0.533]]}

## Q
{"formula": "KRbMnF6", "functional": "GGA+U", "state": "relaxed", "crystal_system": "trigonal", "density_g_cm3": 2.7, "cell": [[6.213, 0.000, 0.000], [-3.107, 5.381, 0.000], [0.000, 0.000, 5.318]], "species": ["K", "Rb", "Mn", "F", "F", "F", "F", "F", "F"], "frac_coords": [[0.000, 0.000, 0.000], [0.667, 0.333, 0.500], [0.333, 0.667, 0.000], [0.087, 0.422, 0.199], [0.087, 0.665, 0.801], [0.335, 0.422, 0.801], [0.335, 0.913, 0.199], [0.578, 0.665, 0.199], [0.578, 0.913, 0.801]]}

P is favored, and the nearest alternative lies 0.028 eV/atom above it.

## P
{"formula": "K2RbMnF6", "functional": "GGA+U", "state": "relaxed", "crystal_system": "monoclinic", "density_g_cm3": 3.1, "cell": [[6.202, 0.000, 0.000], [0.000, 6.523, 0.000], [-6.121, 0.000, 8.850]], "species": ["K", "K", "K", "K", "Rb", "Rb", "Mn", "Mn", "F", "F", "F", "F", "F", "F", "F", "F", "F", "F", "F", "F"], "frac_coords": [[0.227, 0.050, 0.243], [0.227, 0.450, 0.743], [0.773, 0.550, 0.257], [0.773, 0.950, 0.757], [0.000, 0.000, 0.500], [0.000, 0.500, 0.000], [0.500, 0.000, 0.000], [0.500, 0.500, 0.500], [0.207, 0.162, 0.960], [0.207, 0.338, 0.460], [0.274, 0.744, 0.424], [0.274, 0.756, 0.924], [0.406, 0.061, 0.799], [0.406, 0.439, 0.299], [0.594, 0.561, 0.701], [0.594, 0.939, 0.201], [0.726, 0.244, 0.076], [0.726, 0.256, 0.576], [0.793, 0.662, 0.540], [0.793, 0.838, 0.040]]}

## Q
{"formula": "K2RbMnF6", "functional": "GGA+U", "state": "relaxed", "crystal_system": "cubic", "density_g_cm3": 3.0, "cell": [[0.000, 4.526, 4.526], [4.526, 0.000, 4.526], [4.526, 4.526, 0.000]], "species": ["K", "K", "Rb", "Mn", "F", "F", "F", "F", "F", "F"], "frac_coords": [[0.250, 0.250, 0.250], [0.750, 0.750, 0.750], [0.000, 0.000, 0.000], [0.500, 0.500, 0.500], [0.288, 0.288, 0.712], [0.288, 0.712, 0.288], [0.288, 0.712, 0.712], [0.712, 0.288, 0.288], [0.712, 0.288, 0.712], [0.712, 0.712, 0.288]]}

P is favored, and the nearest alternative lies 0.157 eV/atom above it.